UFe2CoO6: optimized geometry, PBE with a Hubbard U.

Results
M_tot (μB/atom): 1.097
Calculated density (Mg/m³): 7.01
VASP energy (eV per atom): -7.703
Space group: P2_1/c (14)

Geometry as POSCAR:
```
UFe2CoO6
1.0
5.530 0.000 0.000
0.000 5.402 0.000
-5.503 0.000 8.002
U Fe Co O
2 4 2 12
Cartesian
0.000 0.000 0.000
-2.751 2.701 4.001
-2.853 0.167 6.205
-0.101 2.534 2.205
0.128 2.868 5.797
2.879 5.234 1.796
0.013 0.000 4.001
2.765 2.701 0.000
-0.665 0.518 1.996
-3.417 2.183 5.997
0.868 3.693 0.679
-1.883 4.410 4.680
1.850 0.942 0.417
-0.901 1.759 4.418
0.928 3.643 3.584
-1.824 4.460 7.584
1.910 0.992 3.322
-0.841 1.709 7.322
3.443 3.219 2.005
0.692 4.884 6.006
```